# 1
PaHgPb2: optimized geometry, PBE.

Cell lengths 4.862, 4.862, 4.519 Å; angles 90.00, 90.00, 90.00 degrees
Last column: magnetic moment on the atom in μB.
Fractional coordinates of all 4 atoms:
Hg (0.500, 0.500, 0.500)  0.01
Pa (0.000, 0.000, 0.500)  0.49
Pb (0.500, 0.000, 0.000)  0.01
Pb (0.000, 0.500, 0.000)  0.00

As for the raw total energy: -4.33 eV/atom. For the volume, the calculation gives 26.71 Å³/atom. The calculation puts the total magnetization at 0.60 μB/f.u.


# 2
PaHg2Pb2: optimized geometry, PBE.

Cell lengths 4.397, 4.397, 7.733 Å; angles 106.52, 106.52, 90.00 degrees
Fractional coordinates of all 5 atoms:
Hg (0.750, 0.250, 0.500)
Hg (0.250, 0.750, 0.500)
Pa (0.000, 0.000, 0.000)
Pb (0.603, 0.603, 0.206)
Pb (0.397, 0.397, 0.794)

For the volume, the calculation gives 27.38 Å³/atom. The calculation puts the total magnetization at 1.67 μB/f.u. The calculation puts the offset from the most stable computed form at 0.0 kJ/mol of atoms.


# 3
PaHgPb: optimized geometry, PBE.

Cell lengths 5.030, 5.030, 5.030 Å; angles 60.00, 60.00, 60.00 degrees
Last column: magnetic moment on the atom in μB.
Fractional coordinates of all 3 atoms:
Hg (0.000, 0.000, 0.000)  0.01
Pa (0.250, 0.250, 0.250)  1.10
Pb (0.750, 0.750, 0.750)  -0.01

For the volume, the calculation gives 29.99 Å³/atom. The calculation puts the total magnetization at 1.28 μB/f.u. The calculation puts the offset from the most stable computed form at 1.5 kJ/mol of atoms.